Computed, not measured: a geometry-optimized Pr6Hg3Ru structure at the PBE level of DFT.

Computed properties:
V   31.90 A^3/atom
Formation enthalpy at 0 K   -253 meV/atom
Calculated total energy   -4.139 eV/atom
Space-group type   No. 167

Unit cell a=8.623 b=8.623 c=8.623 alpha=93.18 beta=93.18 gamma=93.18
Positions (direct):
Pr 0.037 0.924 0.686
Pr 0.076 0.314 0.963
Pr 0.186 0.424 0.537
Pr 0.314 0.963 0.076
Pr 0.424 0.537 0.186
Pr 0.463 0.814 0.576
Pr 0.537 0.186 0.424
Pr 0.576 0.463 0.814
Pr 0.686 0.037 0.924
Pr 0.814 0.576 0.463
Pr 0.924 0.686 0.037
Pr 0.963 0.076 0.314
Hg 0.151 0.750 0.349
Hg 0.250 0.651 0.849
Hg 0.349 0.151 0.750
Hg 0.651 0.849 0.250
Hg 0.750 0.349 0.151
Hg 0.849 0.250 0.651
Ru 0.000 0.000 0.000
Ru 0.500 0.500 0.500